NaGdCuPb (PBE, relaxed); raw total energy = -23.628 eV/f.u.; magnetic moment = 1.779 μB/atom; V = 24.47 A^3/atom; mass density = 7.650 g/cm³
1.0
0.000 3.658 3.658
3.658 0.000 3.658
3.658 3.658 0.000
Na Gd Cu Pb
1 1 1 1
Cartesian
0.000 0.000 0.000
3.658 3.658 3.658
5.487 5.487 5.487
1.829 1.829 1.829